Entry 1:
The following is a DFT calculation (PBE) of crystalline PmYTm2S6 at its relaxed geometry.

Calculated values
Its formation energy from raw total energies is -20.5 eV per formula unit. For the total energy, the calculation gives -6.55 eV/atom. The value obtained for the mass density is 4.98 g/cm3.

Unit cell a=7.3318 b=7.3318 c=7.3318 alpha=56.32 beta=56.32 gamma=56.32
Closest atoms and distances in Å follow each position.
Fractional positions:
Pm 0.0000 0.0000 0.0000  6 S 2.78-2.88
Y 0.4957 0.4957 0.4957  6 S 2.73-2.79
Tm 0.2944 0.2944 0.2944  6 S 2.68-2.74
Tm 0.7968 0.7968 0.7968  6 S 2.68-2.74
S 0.0859 0.6785 0.4148  2 Tm 2.68-2.74, 1 Pm 2.78, 1 Y 2.79
S 0.1906 0.5845 0.9028  2 Tm 2.68-2.74, 1 Y 2.73, 1 Pm 2.88
S 0.4148 0.0859 0.6785  2 Tm 2.68-2.74, 1 Pm 2.78, 1 Y 2.79
S 0.5845 0.9028 0.1906  2 Tm 2.68-2.74, 1 Y 2.73, 1 Pm 2.88
S 0.6785 0.4148 0.0859  2 Tm 2.68-2.74, 1 Pm 2.78, 1 Y 2.79
S 0.9028 0.1906 0.5845  2 Tm 2.68-2.74, 1 Y 2.73, 1 Pm 2.88



Entry 2:
The following is a DFT calculation (PBE) of crystalline TlMoPb at its relaxed geometry.

Calculated values
Its energy of formation from the pure elements is 698 meV per atom. For the total energy, the calculation gives -4.94 eV/atom. The value obtained for the offset from the most stable computed form is 0.00 eV/f.u. The value obtained for the mass density is 11.24 g/cm3.

Unit cell a=8.7402 b=8.5993 c=3.0422 alpha=82.52 beta=77.29 gamma=20.19
Closest atoms and distances in Å follow each position.
Fractional positions:
Tl 0.0000 0.0000 0.0000  4 Tl 3.04, 2 Mo 3.04
Mo 0.3560 0.3560 0.6440  2 Pb 2.97, 4 Mo 3.04, 2 Tl 3.04
Pb 0.7175 0.7175 0.2825  2 Mo 2.97, 4 Pb 3.04